Entry 1:
Entry from Alexandria via LeMat-Bulk: crystalline ScIrBr at its relaxed geometry (GGA-PBE).

Output
ΔE_f (raw): -0.1603 eV per atom
SG: F-43m, No. 216

Lattice parameters (Å, degrees): 4.4929 4.4929 4.4929 60.00 60.00 60.00
Positions (direct):
Sc1 0.0000 0.0000 0.0000
Ir1 0.2500 0.2500 0.2500
Br1 0.5000 0.5000 0.5000



Entry 2:
Entry from Alexandria via LeMat-Bulk: crystalline PuCd4Cu2 at its relaxed geometry (GGA-PBE).

Output
SG: Cmmm, No. 65
ΔH_f (0 K): 0.033 eV/atom

Lattice parameters (Å, degrees): 9.4378 9.4378 3.3093 90.00 90.00 150.94
Positions (direct):
Pu1 0.0000 0.0000 0.0000
Cd1 0.1552 0.8448 0.5000
Cd2 0.3074 0.6926 0.0000
Cd3 0.6926 0.3074 0.0000
Cd4 0.8448 0.1552 0.5000
Cu1 0.4325 0.5675 0.5000
Cu2 0.5675 0.4325 0.5000



Entry 3:
Entry from Alexandria via LeMat-Bulk: crystalline LiHoMgRu at its relaxed geometry (GGA-PBE).

Output
SG: F-43m, No. 216
ΔH_f (0 K): -0.143 eV/atom

Lattice parameters (Å, degrees): 4.7264 4.7264 4.7264 60.00 60.00 60.00
Positions (direct):
Li1 0.0000 0.0000 0.0000
Ho1 0.2500 0.2500 0.2500
Mg1 0.7500 0.7500 0.7500
Ru1 0.5000 0.5000 0.5000



Entry 4:
Entry from Alexandria via LeMat-Bulk: crystalline CaLa2Y3Te6 at its relaxed geometry (GGA-PBE).

Output
ΔE_f (raw): -1.4641 eV per atom
SG: C2/m, No. 12

Lattice parameters (Å, degrees): 9.9834 9.9834 8.9723 103.04 103.04 25.66
Positions (direct):
Ca1 0.0000 0.0000 0.0000
La1 0.3296 0.3296 0.6613
La2 0.6704 0.6704 0.3387
Y1 0.0000 0.0000 0.5000
Y2 0.3297 0.3297 0.1704
Y3 0.6703 0.6703 0.8296
Te1 0.1610 0.1610 0.5907
Te2 0.1657 0.1657 0.0708
Te3 0.4967 0.4967 0.2509
Te4 0.5033 0.5033 0.7491
Te5 0.8343 0.8343 0.9292
Te6 0.8390 0.8390 0.4093



Entry 5:
Entry from Alexandria via LeMat-Bulk: crystalline NaTl2In2 at its relaxed geometry (GGA-PBE).

Output
SG: I4/mmm, No. 139
ΔH_f (0 K): 0.002 eV/atom

Lattice parameters (Å, degrees): 8.5036 8.5036 8.5036 149.92 149.92 43.06
Positions (direct):
Na1 0.0000 0.0000 0.0000
Tl1 0.3985 0.3985 0.0000
Tl2 0.6015 0.6015 0.0000
In1 0.2500 0.7500 0.5000
In2 0.7500 0.2500 0.5000



Entry 6:
Entry from Alexandria via LeMat-Bulk: crystalline KVZn2 at its relaxed geometry (GGA-PBE).

Output
SG: I4_1/amd, No. 141
ΔH_f (0 K): 0.686 eV/atom

Lattice parameters (Å, degrees): 10.0364 10.0364 10.0364 151.02 151.02 41.45
Positions (direct):
K1 0.3750 0.6250 0.7500
K2 0.6250 0.3750 0.2500
V1 0.1250 0.8750 0.2500
V2 0.8750 0.1250 0.7500
Zn1 0.0000 0.0000 0.0000
Zn2 0.0000 0.0000 0.5000
Zn3 0.0000 0.5000 0.0000
Zn4 0.5000 0.0000 0.5000



Entry 7:
Entry from Alexandria via LeMat-Bulk: crystalline LaPr2NdS4 at its relaxed geometry (GGA-PBE).

Output
ΔE_f (raw): -2.0591 eV per atom
SG: Imma, No. 74

Lattice parameters (Å, degrees): 8.2198 8.2198 8.2198 120.04 119.94 90.02
Positions (direct):
La1 0.0000 0.0000 0.0000
La2 0.5000 0.0000 0.5000
Pr1 0.0000 0.5000 0.5000
Pr2 0.5000 0.0000 0.0000
Pr3 0.5000 0.5000 0.0000
Pr4 0.5000 0.5000 0.5000
Nd1 0.0000 0.0000 0.5000
Nd2 0.0000 0.5000 0.0000
S1 0.2474 0.7496 0.4977
S2 0.2481 0.2504 0.9977
S3 0.2488 0.2498 0.5009
S4 0.2488 0.7479 0.9991
S5 0.7512 0.2521 0.0009
S6 0.7512 0.7502 0.4991
S7 0.7519 0.7496 0.0023
S8 0.7526 0.2504 0.5023



Entry 8:
Entry from Alexandria via LeMat-Bulk: crystalline ScTe2Rh at its relaxed geometry (GGA-PBE).

Output
ΔE_f (raw): -0.4200 eV per atom
SG: Fm-3m, No. 225

Lattice parameters (Å, degrees): 4.9301 4.9301 4.9301 60.00 60.00 60.00
Positions (direct):
Sc1 0.0000 0.0000 0.0000
Te1 0.2500 0.2500 0.2500
Te2 0.7500 0.7500 0.7500
Rh1 0.5000 0.5000 0.5000



Entry 9:
Entry from Alexandria via LeMat-Bulk: crystalline RbSnC3 at its relaxed geometry (GGA-PBE).

Output
SG: Pm-3m, No. 221
ΔH_f (0 K): 4.025 eV/atom

Lattice parameters (Å, degrees): 4.6571 4.6571 4.6571 90.00 90.00 90.00
Positions (direct):
Rb1 0.0000 0.0000 0.0000
Sn1 0.5000 0.5000 0.5000
C1 0.0000 0.0000 0.5000
C2 0.0000 0.5000 0.0000
C3 0.5000 0.0000 0.0000



Entry 10:
Entry from Alexandria via LeMat-Bulk: crystalline RbGa3Sn2 at its relaxed geometry (GGA-PBE).

Output
SG: Fd-3m, No. 227
ΔH_f (0 K): 0.125 eV/atom

Lattice parameters (Å, degrees): 10.2892 10.2892 10.2892 60.00 60.00 60.00
Positions (direct):
Rb1 0.0000 0.0000 0.0000
Rb2 0.0000 0.0000 0.5000
Rb3 0.0000 0.5000 0.0000
Rb4 0.5000 0.0000 0.0000
Ga1 0.1993 0.1993 0.5507
Ga2 0.1993 0.5507 0.1993
Ga3 0.1993 0.5507 0.5507
Ga4 0.4493 0.4493 0.8007
Ga5 0.4493 0.8007 0.4493
Ga6 0.4493 0.8007 0.8007
Ga7 0.5507 0.1993 0.1993
Ga8 0.5507 0.1993 0.5507
Ga9 0.5507 0.5507 0.1993
Ga10 0.8007 0.4493 0.4493
Ga11 0.8007 0.4493 0.8007
Ga12 0.8007 0.8007 0.4493
Sn1 0.2416 0.7528 0.7528
Sn2 0.2472 0.2472 0.2472
Sn3 0.2472 0.2472 0.7584
Sn4 0.2472 0.7584 0.2472
Sn5 0.7528 0.2416 0.7528
Sn6 0.7528 0.7528 0.2416
Sn7 0.7528 0.7528 0.7528
Sn8 0.7584 0.2472 0.2472



Entry 11:
Entry from Alexandria via LeMat-Bulk: crystalline BaNbRe2 at its relaxed geometry (GGA-PBE).

Output
SG: I4_1/amd, No. 141
ΔH_f (0 K): 1.213 eV/atom

Lattice parameters (Å, degrees): 9.5535 9.5535 9.5535 149.25 149.25 44.04
Positions (direct):
Ba1 0.3750 0.6250 0.7500
Ba2 0.6250 0.3750 0.2500
Nb1 0.1250 0.8750 0.2500
Nb2 0.8750 0.1250 0.7500
Re1 0.0000 0.0000 0.0000
Re2 0.0000 0.0000 0.5000
Re3 0.0000 0.5000 0.0000
Re4 0.5000 0.0000 0.5000



Entry 12:
Entry from Alexandria via LeMat-Bulk: crystalline BiSbI2N at its relaxed geometry (GGA-PBE).

Output
ΔE_f (raw): 0.8940 eV per atom
SG: P4/mmm, No. 123

Lattice parameters (Å, degrees): 6.3772 6.3772 4.1675 90.00 90.00 90.00
Positions (direct):
Bi1 0.0000 0.0000 0.0000
Sb1 0.5000 0.5000 0.5000
I1 0.0000 0.5000 0.0000
I2 0.5000 0.0000 0.0000
N1 0.0000 0.0000 0.5000



Number 1: calculated total energy -5.78 eV per atom. Number 2: calculated total energy -3.71 eV per atom. Number 3: calculated total energy -4.48 eV per atom. Number 4: calculated total energy -5.64 eV per atom. Number 5: calculated total energy -2.30 eV per atom. Number 6: calculated total energy -2.51 eV per atom. Number 7: calculated total energy -6.53 eV per atom. Number 8: calculated total energy -5.41 eV per atom. Number 9: calculated total energy -2.50 eV per atom. Number 10: calculated total energy -2.88 eV per atom. Number 11: calculated total energy -8.01 eV per atom. Number 12: calculated total energy -2.99 eV per atom.